Pd4O11 PBE-GGA optimized geometry; density = 5855 kg/m³; space-group type = No. 1; V = 11.38 A^3/atom; E above lowest polymorph = 0.0 meV/atom
1.0
-4.409 -8.122 0.171
-2.644 4.335 0.442
2.017 -0.263 -4.430
O Pd
11 4
direct
0.170 0.217 0.080 O
0.009 0.625 0.162 O
0.834 0.000 0.282 O
0.694 0.452 0.398 O
0.164 0.838 0.455 O
0.531 0.790 0.510 O
0.983 0.214 0.576 O
0.815 0.603 0.700 O
0.663 0.052 0.810 O
0.323 0.754 0.885 O
0.481 0.459 0.898 O
0.577 0.940 0.166 Pd
0.316 0.345 0.510 Pd
0.092 0.736 0.811 Pd
0.912 0.109 0.938 Pd